## NdFeP2O8 (GGA+U)

Data for a geometry-optimized NdFeP2O8 structure.

Total energy = -7.4903 eV per atom

a b c (Å): 5.1394 5.1394 6.7466
angles (deg): 90.00 90.00 120.00
Last column: nearest neighbours and their distance in Å.
Positions (direct):
Nd1 0.0000 0.0000 0.0000  6 O 2.54
Fe1 0.0000 0.0000 0.5000  6 O 2.00
P1 0.3333 0.6667 0.2307  4 O 1.54-1.55
P2 0.6667 0.3333 0.7693  4 O 1.54-1.55
O1 0.1685 0.3370 0.3034  1 P 1.55
O2 0.1685 0.8315 0.3034  1 P 1.55
O3 0.3333 0.6667 0.0031  1 P 1.54
O4 0.3370 0.1685 0.6966  1 P 1.55
O5 0.6630 0.8315 0.3034  1 P 1.55
O6 0.6667 0.3333 0.9969  1 P 1.54
O7 0.8315 0.1685 0.6966  1 P 1.55
O8 0.8315 0.6630 0.6966  1 P 1.55